Entry 1:
Crystalline Ac3ZnAu3 at its relaxed geometry. Source: the Alexandria database, functional PBE-GGA.

Cell: 9.345 9.345 6.326 Å, 90.00 90.00 120.00°
Element x y z (fractional)
Ac (0.051, 0.695, 0.250)
Ac (0.305, 0.355, 0.250)
Ac (0.355, 0.051, 0.750)
Ac (0.645, 0.949, 0.250)
Ac (0.695, 0.645, 0.750)
Ac (0.949, 0.305, 0.750)
Zn (0.333, 0.667, 0.750)
Zn (0.667, 0.333, 0.250)
Au (0.055, 0.685, 0.750)
Au (0.315, 0.369, 0.750)
Au (0.369, 0.055, 0.250)
Au (0.631, 0.945, 0.750)
Au (0.685, 0.631, 0.250)
Au (0.945, 0.315, 0.250)

* spin magnetization: 0.00 μB/f.u.
* mass density: 9.28 g/cm3
* calculated total energy: -54.65 eV for the cell shown

=====

Entry 2:
Crystalline Ac2ZnAu2 at its relaxed geometry. Source: the Alexandria database, functional PBE-GGA.

Cell: 6.254 6.254 11.954 Å, 116.43 116.43 42.89°
Element x y z (fractional)
Ac (0.037, 0.037, 0.353)
Ac (0.191, 0.191, 0.107)
Ac (0.809, 0.809, 0.893)
Ac (0.963, 0.963, 0.647)
Zn (0.268, 0.268, 0.669)
Zn (0.732, 0.732, 0.331)
Au (0.357, 0.357, 0.416)
Au (0.481, 0.481, 0.122)
Au (0.519, 0.519, 0.878)
Au (0.643, 0.643, 0.584)

* spin magnetization: 0.00 μB/f.u.
* mass density: 10.85 g/cm3
* calculated total energy: -38.94 eV for the cell shown

=====

Entry 3:
Crystalline Ac2ZnAu5 at its relaxed geometry. Source: the Alexandria database, functional PBE-GGA.

Cell: 6.630 6.630 6.630 Å, 119.54 119.54 90.79°
Element x y z (fractional)
Ac (0.000, 0.500, 0.500)
Ac (0.500, 0.000, 0.500)
Zn (0.236, 0.236, 0.000)
Au (0.522, 0.522, 0.556)
Au (0.522, 0.966, 0.000)
Au (0.957, 0.957, 0.000)
Au (0.966, 0.522, 0.000)
Au (0.966, 0.966, 0.444)

* spin magnetization: 0.00 μB/f.u.
* mass density: 12.04 g/cm3
* calculated total energy: -30.47 eV for the cell shown

=====

Entry 4:
Crystalline Ac3ZnAu at its relaxed geometry. Source: the Alexandria database, functional PBE-GGA.

Cell: 9.001 9.001 9.248 Å, 91.33 91.33 26.70°
Element x y z (fractional)
Ac (0.061, 0.061, 0.314)
Ac (0.229, 0.229, 0.674)
Ac (0.404, 0.404, 0.071)
Ac (0.596, 0.596, 0.929)
Ac (0.771, 0.771, 0.326)
Ac (0.939, 0.939, 0.686)
Zn (0.217, 0.217, 0.071)
Zn (0.783, 0.783, 0.929)
Au (0.412, 0.412, 0.425)
Au (0.588, 0.588, 0.575)

* spin magnetization: 0.00 μB/f.u.
* mass density: 9.31 g/cm3
* calculated total energy: -37.41 eV for the cell shown

=====

Repeat the first record exactly.
Crystalline Ac3ZnAu3 at its relaxed geometry. Source: the Alexandria database, functional PBE-GGA.

Cell: 9.345 9.345 6.326 Å, 90.00 90.00 120.00°
Element x y z (fractional)
Ac (0.051, 0.695, 0.250)
Ac (0.305, 0.355, 0.250)
Ac (0.355, 0.051, 0.750)
Ac (0.645, 0.949, 0.250)
Ac (0.695, 0.645, 0.750)
Ac (0.949, 0.305, 0.750)
Zn (0.333, 0.667, 0.750)
Zn (0.667, 0.333, 0.250)
Au (0.055, 0.685, 0.750)
Au (0.315, 0.369, 0.750)
Au (0.369, 0.055, 0.250)
Au (0.631, 0.945, 0.750)
Au (0.685, 0.631, 0.250)
Au (0.945, 0.315, 0.250)

* spin magnetization: 0.00 μB/f.u.
* mass density: 9.28 g/cm3
* calculated total energy: -54.65 eV for the cell shown

=====

Which value of calculated total energy does entry 1 give?
-54.65 eV for the cell shown

=====

Number 1 is which compound?
Ac3ZnAu3

=====

What is the formula in the third record?
Ac2ZnAu5